[1]
{"formula": "KLiAl2", "functional": "PBE", "state": "optimized geometry", "lattice": [[3.435, 0.000, 0.000], [0.000, 3.435, 0.000], [0.000, 0.000, 8.465]], "species": ["K", "Al", "Al", "Li"], "frac_coords": [[0.000, 0.000, 0.483], [0.500, 0.500, 0.177], [0.000, 0.000, 0.006], [0.500, 0.500, 0.835]], "space_group": "No. 99", "ef_ev_per_atom": 0.1419, "total_magnetization_mub_per_cell": 0.000, "volume_a3_per_cell": 99.9}

=====

[2]
{"formula": "KLiAl2", "functional": "PBE", "state": "optimized geometry", "lattice": [[3.267, 0.002, 0.000], [-0.002, 3.267, 0.000], [0.000, 0.000, 8.544]], "species": ["Li", "K", "Al", "Al"], "frac_coords": [[0.500, 0.500, 0.750], [0.500, 0.500, 0.250], [0.000, 0.000, 0.576], [0.000, 0.000, 0.924]], "space_group": "No. 123", "ef_ev_per_atom": 0.1744, "total_magnetization_mub_per_cell": 0.000, "volume_a3_per_cell": 91.2}

=====

[3]
{"formula": "K2LiAl2", "functional": "PBE", "state": "optimized geometry", "lattice": [[-3.257, 1.746, 3.177], [-3.622, -1.741, -2.756], [-3.204, -6.695, 4.132]], "species": ["Li", "K", "K", "Al", "Al"], "frac_coords": [[0.000, 0.000, 0.000], [0.750, 0.250, 0.500], [0.250, 0.750, 0.500], [0.419, 0.419, 0.163], [0.581, 0.581, 0.837]], "space_group": "No. 139", "ef_ev_per_atom": 0.4899, "total_magnetization_mub_per_cell": 0.000, "volume_a3_per_cell": 184.4}

=====

[4]
{"formula": "KLiAl2", "functional": "PBE", "state": "optimized geometry", "lattice": [[-5.159, -8.212, 4.336], [-2.438, -8.460, 5.945], [-4.709, -6.495, 6.964]], "species": ["K", "Al", "Al", "Li"], "frac_coords": [[0.250, 0.250, 0.250], [0.012, 0.012, 0.012], [0.488, 0.488, 0.488], [0.750, 0.750, 0.750]], "space_group": "No. 166", "ef_ev_per_atom": 0.3374, "total_magnetization_mub_per_cell": 0.000, "volume_a3_per_cell": 91.2}

=====

[5]
{"formula": "KLiAl2", "functional": "PBE", "state": "optimized geometry", "lattice": [[0.108, 0.406, 5.185], [-3.078, 3.436, 2.405], [-4.042, -1.659, 2.824]], "species": ["K", "Al", "Al", "Li"], "frac_coords": [[0.500, 0.500, 0.500], [0.750, 0.750, 0.750], [0.250, 0.250, 0.250], [0.000, 0.000, 0.000]], "space_group": "No. 225", "ef_ev_per_atom": 0.4438, "total_magnetization_mub_per_cell": 0.000, "volume_a3_per_cell": 99.5}

=====

[6]
{"formula": "KLiAl2", "functional": "PBE", "state": "optimized geometry", "lattice": [[-4.007, -3.848, 3.556], [0.741, -6.546, -0.329], [2.011, 6.075, 1.598]], "species": ["K", "Li", "Al", "Al"], "frac_coords": [[0.514, 0.514, 0.000], [0.204, 0.704, 0.500], [0.792, 0.292, 0.500], [0.990, 0.990, 0.000]], "space_group": "No. 44", "ef_ev_per_atom": 0.2569, "total_magnetization_mub_per_cell": 0.000, "volume_a3_per_cell": 103.8}

=====

[7]
{"formula": "KLiAl2", "functional": "PBE", "state": "optimized geometry", "lattice": [[4.989, -0.167, -0.242], [4.189, 2.715, -0.242], [0.987, 0.274, 7.392]], "species": ["K", "Al", "Al", "Li"], "frac_coords": [[0.750, 0.750, 0.750], [0.991, 0.991, 0.102], [0.509, 0.509, 0.398], [0.250, 0.250, 0.250]], "space_group": "No. 12", "ef_ev_per_atom": 0.2013, "total_magnetization_mub_per_cell": 0.000, "volume_a3_per_cell": 106.0}

=====

[8]
{"formula": "KLiAl2", "functional": "PBE", "state": "optimized geometry", "lattice": [[-1.854, -1.808, -3.902], [-1.199, -4.125, -1.865], [-7.073, 0.175, 2.475]], "species": ["Li", "Al", "Al", "K"], "frac_coords": [[0.271, 0.271, 0.155], [0.001, 0.001, 0.991], [0.734, 0.734, 0.843], [0.493, 0.493, 0.510]], "space_group": "No. 8", "ef_ev_per_atom": 0.1349, "total_magnetization_mub_per_cell": 0.000, "volume_a3_per_cell": 103.8}

=====

[9]
{"formula": "KLiAl2", "functional": "PBE", "state": "optimized geometry", "lattice": [[-3.493, 3.859, 3.268], [1.869, -5.463, 2.108], [2.498, 1.295, 1.140]], "species": ["Al", "Al", "K", "Li"], "frac_coords": [[0.500, 0.500, 0.000], [0.000, 0.000, 0.000], [0.500, 0.000, 0.500], [0.000, 0.500, 0.500]], "space_group": "No. 65", "ef_ev_per_atom": 0.3500, "total_magnetization_mub_per_cell": 0.000, "volume_a3_per_cell": 95.9}

=====

[10]
{"formula": "KLi3Al", "functional": "PBE", "state": "optimized geometry", "lattice": [[-0.810, 3.229, -4.141], [-0.738, -4.219, -3.145], [-5.199, 0.096, 1.092]], "species": ["Li", "Li", "Li", "K", "Al"], "frac_coords": [[0.500, 0.000, 0.000], [0.000, 0.000, 0.500], [0.000, 0.500, 0.000], [0.500, 0.500, 0.500], [0.000, 0.000, 0.000]], "space_group": "No. 221", "ef_ev_per_atom": 0.1499, "total_magnetization_mub_per_cell": 0.001, "volume_a3_per_cell": 150.0}

=====

[11]
{"formula": "KNaLi2Al", "functional": "PBE", "state": "optimized geometry", "lattice": [[-4.301, 3.288, 0.900], [-3.107, -4.529, 1.698], [1.680, 0.784, 5.165]], "species": ["Na", "K", "Li", "Li", "Al"], "frac_coords": [[0.000, 0.500, 0.000], [0.000, 0.000, 0.000], [0.500, 0.000, 0.000], [0.000, 0.000, 0.500], [0.500, 0.500, 0.500]], "space_group": "No. 123", "ef_ev_per_atom": 0.8226, "total_magnetization_mub_per_cell": 0.000, "volume_a3_per_cell": 173.1}

=====

[12]
{"formula": "KLiAlO", "functional": "PBE", "state": "optimized geometry", "lattice": [[-2.651, 1.518, 0.475], [-0.840, 0.131, -5.109], [-1.952, -4.324, 2.779]], "species": ["O", "Li", "Al", "K"], "frac_coords": [[0.379, 0.410, 0.335], [0.876, 0.293, 0.095], [0.383, 0.587, 0.697], [0.886, 0.916, 0.346]], "space_group": "No. 1", "e_tot_ev_per_atom": -3.921, "total_magnetization_mub_per_cell": 0.000, "volume_a3_per_cell": 78.1}